Entry 1:
Mg12Sn3H5 (PBE, relaxed); VASP energy = -190.67 eV per cell; space-group type = Ia-3d, No. 230; magnetization = 0.00 μB/f.u.
1.0
12.4944 0.0000 0.0000
-4.1648 11.7798 0.0000
-4.1648 -5.8899 10.2016
Sn H Mg
12 20 48
Direct
0.7500 0.3750 0.1250
0.8750 0.7500 0.1250
0.3750 0.7500 0.6250
0.2500 0.1250 0.3750
0.8750 0.1250 0.2500
0.3750 0.6250 0.2500
0.6250 0.3750 0.7500
0.1250 0.8750 0.7500
0.7500 0.8750 0.6250
0.6250 0.2500 0.3750
0.1250 0.2500 0.8750
0.2500 0.6250 0.8750
0.1250 0.3750 0.2500
0.0000 0.5000 0.0000
0.0000 0.0000 0.0000
0.3750 0.2500 0.1250
0.5000 0.0000 0.5000
0.5000 0.5000 0.0000
0.1250 0.7500 0.3750
0.7500 0.1250 0.8750
0.7500 0.6250 0.3750
0.3750 0.1250 0.7500
0.6250 0.8750 0.2500
0.5000 0.5000 0.5000
0.5000 0.0000 0.0000
0.0000 0.0000 0.5000
0.2500 0.3750 0.6250
0.2500 0.8750 0.1250
0.0000 0.5000 0.5000
0.8750 0.2500 0.6250
0.6250 0.7500 0.8750
0.8750 0.6250 0.7500
0.6966 0.1025 0.0054
0.3088 0.5054 0.4029
0.9946 0.3975 0.3034
0.5054 0.1966 0.1025
0.5941 0.6966 0.6912
0.9946 0.5971 0.1912
0.3088 0.8034 0.4059
0.0971 0.9059 0.1025
0.5971 0.9946 0.6912
0.6966 0.5941 0.1912
0.8034 0.4946 0.3975
0.8088 0.9029 0.0054
0.1025 0.6966 0.5054
0.3975 0.4029 0.0941
0.0941 0.9029 0.3975
0.4059 0.1025 0.5971
0.0941 0.1912 0.1966
0.4946 0.6912 0.0971
0.8088 0.9059 0.3034
0.1025 0.4059 0.0971
0.3975 0.9946 0.8034
0.5971 0.6025 0.4059
0.9029 0.8088 0.5054
0.8034 0.3088 0.9059
0.4029 0.3975 0.5941
0.0971 0.1912 0.4946
0.1966 0.6912 0.0941
0.1912 0.0941 0.6966
0.6025 0.0054 0.1966
0.8975 0.5941 0.9029
0.5054 0.3088 0.9029
0.5941 0.8975 0.4029
0.9059 0.8088 0.8034
0.9059 0.0971 0.6025
0.8975 0.3034 0.4946
0.1912 0.0971 0.9946
0.6025 0.5971 0.9059
0.4029 0.0054 0.3088
0.3034 0.4059 0.8088
0.1966 0.5054 0.6025
0.9029 0.0941 0.8975
0.6912 0.1966 0.5941
0.4946 0.8034 0.8975
0.0054 0.4029 0.8088
0.4059 0.3034 0.3088
0.0054 0.6025 0.6966
0.6912 0.4946 0.5971
0.3034 0.8975 0.9946

=====

Entry 2:
MgSnH (PBE, relaxed); E above lowest polymorph = 0.065 eV per atom; space-group type = P-6m2, No. 187; magnetization = 0.00 μB/f.u.
1.0
3.2789 0.0000 0.0000
-1.6395 2.8396 0.0000
0.0000 0.0000 5.6230
H Mg Sn
1 1 1
Direct
0.3333 0.6667 0.4998
0.6667 0.3333 0.5002
0.0000 0.0000 0.0000

=====

Copy entry 2 word for word.
MgSnH (PBE, relaxed); E above lowest polymorph = 0.065 eV per atom; space-group type = P-6m2, No. 187; magnetization = 0.00 μB/f.u.
1.0
3.2789 0.0000 0.0000
-1.6395 2.8396 0.0000
0.0000 0.0000 5.6230
H Mg Sn
1 1 1
Direct
0.3333 0.6667 0.4998
0.6667 0.3333 0.5002
0.0000 0.0000 0.0000